Below is BeNiH3 after structural relaxation, with properties calculated at the PBE level.

Unit cell a=3.164 b=3.164 c=3.164 alpha=90.00 beta=90.00 gamma=90.00
Sites, in units of the cell vectors:
Ni: 0.000 0.000 0.000
H: 0.000 0.000 0.500
H: 0.000 0.500 0.000
H: 0.500 0.000 0.000
Be: 0.500 0.500 0.500

Results
Electronic total energy in eV/cell: -17.90
Calculated volume in A^3/atom: 6.3
ρ in g/cm3: 3.71

---

Below is BeNiH2 after structural relaxation, with properties calculated at the PBE level.

Unit cell a=3.648 b=3.648 c=4.638 alpha=66.84 beta=66.84 gamma=90.00
Sites, in units of the cell vectors:
Be: 0.250 0.750 0.500
Be: 0.500 0.500 0.000
H: 0.139 0.625 0.250
H: 0.375 0.389 0.750
H: 0.875 0.861 0.750
H: 0.611 0.125 0.250
Ni: 0.750 0.250 0.500
Ni: 0.000 0.000 0.000

Results
Electronic total energy in eV/cell: -32.31
Calculated volume in A^3/atom: 6.4
ρ in g/cm3: 4.51

---

Below is BeNiH2 after structural relaxation, with properties calculated at the PBE level.

Unit cell a=2.742 b=2.742 c=4.468 alpha=72.13 beta=72.13 gamma=60.00
Sites, in units of the cell vectors:
H: 0.118 0.118 0.647
H: 0.882 0.882 0.353
Ni: 0.500 0.500 0.500
Be: 0.000 0.000 0.000

Results
Electronic total energy in eV/cell: -15.53
Calculated volume in A^3/atom: 6.8
ρ in g/cm3: 4.26

---

Below is NpBe2NiH8 after structural relaxation, with properties calculated at the PBE level.

Unit cell a=4.409 b=4.409 c=6.183 alpha=90.00 beta=90.00 gamma=120.00
Sites, in units of the cell vectors:
H: 0.154 0.308 0.808
H: 0.846 0.154 0.192
H: 0.333 0.667 0.503
H: 0.692 0.846 0.808
H: 0.154 0.846 0.808
H: 0.846 0.692 0.192
H: 0.308 0.154 0.192
H: 0.667 0.333 0.497
Np: 0.000 0.000 0.500
Be: 0.667 0.333 0.253
Be: 0.333 0.667 0.747
Ni: 0.000 0.000 0.000

Results
Electronic total energy in eV/cell: -53.22
Calculated volume in A^3/atom: 8.7
ρ in g/cm3: 5.13

---

Below is NpBeNiH6 after structural relaxation, with properties calculated at the PBE level.

Unit cell a=4.162 b=4.162 c=4.262 alpha=90.00 beta=90.00 gamma=60.00
Sites, in units of the cell vectors:
H: 0.004 0.498 0.236
H: 0.498 0.004 0.236
H: 0.004 0.498 0.764
H: 0.498 0.498 0.236
H: 0.498 0.004 0.764
H: 0.498 0.498 0.764
Be: 0.333 0.333 0.500
Np: 0.000 0.000 0.000
Ni: 0.667 0.667 0.500

Results
Electronic total energy in eV/cell: -43.68
Calculated volume in A^3/atom: 7.1
ρ in g/cm3: 8.07

---

Below is BeNiHPd2 after structural relaxation, with properties calculated at the PBE level.

Unit cell a=3.987 b=3.987 c=3.358 alpha=90.00 beta=90.00 gamma=90.00
Sites, in units of the cell vectors:
Ni: 0.000 0.000 0.500
Be: 0.500 0.500 0.500
H: 0.000 0.000 0.000
Pd: 0.500 0.000 0.000
Pd: 0.000 0.500 0.000

Results
Electronic total energy in eV/cell: -24.09
Calculated volume in A^3/atom: 10.7
ρ in g/cm3: 8.76

---

Below is BeNi2HPd after structural relaxation, with properties calculated at the PBE level.

Unit cell a=3.483 b=3.483 c=3.929 alpha=90.00 beta=90.00 gamma=90.00
Sites, in units of the cell vectors:
Ni: 0.000 0.500 0.000
Ni: 0.500 0.000 0.000
H: 0.000 0.000 0.000
Pd: 0.500 0.500 0.500
Be: 0.000 0.000 0.500

Results
Electronic total energy in eV/cell: -24.45
Calculated volume in A^3/atom: 9.5
ρ in g/cm3: 8.15

---

Below is BeNi2HPd after structural relaxation, with properties calculated at the PBE level.

Unit cell a=3.500 b=3.500 c=3.943 alpha=90.00 beta=90.00 gamma=90.00
Sites, in units of the cell vectors:
Ni: 0.000 0.500 0.000
Ni: 0.500 0.000 0.000
H: 0.000 0.000 0.000
Pd: 0.000 0.000 0.500
Be: 0.500 0.500 0.500

Results
Electronic total energy in eV/cell: -24.56
Calculated volume in A^3/atom: 9.7
ρ in g/cm3: 8.04

---

Below is PrBe2NiH8 after structural relaxation, with properties calculated at the PBE level.

Unit cell a=4.247 b=4.247 c=6.486 alpha=70.89 beta=70.89 gamma=60.00
Sites, in units of the cell vectors:
Be: 0.266 0.266 0.202
Be: 0.734 0.734 0.798
H: 0.620 0.270 0.172
H: 0.730 0.062 0.828
H: 0.938 0.620 0.172
H: 0.818 0.818 0.546
H: 0.270 0.938 0.172
H: 0.380 0.730 0.828
H: 0.182 0.182 0.454
H: 0.062 0.380 0.828
Ni: 0.000 0.000 0.000
Pr: 0.500 0.500 0.500

Results
Electronic total energy in eV/cell: -46.39
Calculated volume in A^3/atom: 7.8
ρ in g/cm3: 4.00

---

Below is BeNiHPt2 after structural relaxation, with properties calculated at the PBE level.

Unit cell a=3.958 b=3.958 c=3.403 alpha=90.00 beta=90.00 gamma=90.00
Sites, in units of the cell vectors:
Ni: 0.000 0.000 0.500
Pt: 0.000 0.500 0.000
Pt: 0.500 0.000 0.000
Be: 0.500 0.500 0.500
H: 0.000 0.000 0.000

Results
Electronic total energy in eV/cell: -25.87
Calculated volume in A^3/atom: 10.7
ρ in g/cm3: 14.29

---

Below is PuBe2NiH8 after structural relaxation, with properties calculated at the PBE level.

Unit cell a=4.136 b=4.136 c=6.292 alpha=70.81 beta=70.81 gamma=60.00
Sites, in units of the cell vectors:
Be: 0.266 0.266 0.203
Be: 0.734 0.734 0.797
H: 0.718 0.080 0.823
H: 0.821 0.821 0.536
H: 0.621 0.282 0.177
H: 0.179 0.179 0.464
H: 0.920 0.621 0.177
H: 0.080 0.379 0.823
H: 0.379 0.718 0.823
H: 0.282 0.920 0.177
Ni: 0.000 0.000 0.000
Pu: 0.500 0.500 0.500

Results
Electronic total energy in eV/cell: -55.49
Calculated volume in A^3/atom: 7.2
ρ in g/cm3: 6.33

---

Below is Be2NiHRh after structural relaxation, with properties calculated at the PBE level.

Unit cell a=3.763 b=3.763 c=3.039 alpha=90.00 beta=90.00 gamma=90.00
Sites, in units of the cell vectors:
H: 0.000 0.000 0.000
Be: 0.500 0.000 0.000
Be: 0.000 0.500 0.000
Ni: 0.000 0.000 0.500
Rh: 0.500 0.500 0.500

Results
Electronic total energy in eV/cell: -25.46
Calculated volume in A^3/atom: 8.6
ρ in g/cm3: 6.97

---

Below is Be2NiHRu after structural relaxation, with properties calculated at the PBE level.

Unit cell a=3.756 b=3.756 c=3.043 alpha=90.00 beta=90.00 gamma=90.00
Sites, in units of the cell vectors:
Ru: 0.500 0.500 0.500
Ni: 0.000 0.000 0.500
H: 0.000 0.000 0.000
Be: 0.500 0.000 0.000
Be: 0.000 0.500 0.000

Results
Electronic total energy in eV/cell: -26.53
Calculated volume in A^3/atom: 8.6
ρ in g/cm3: 6.92

---

Below is Be2NiHRu after structural relaxation, with properties calculated at the PBE level.

Unit cell a=3.678 b=3.678 c=3.292 alpha=90.00 beta=90.00 gamma=90.00
Sites, in units of the cell vectors:
Ru: 0.000 0.000 0.500
Be: 0.500 0.000 0.000
Be: 0.000 0.500 0.000
Ni: 0.500 0.500 0.500
H: 0.000 0.000 0.000

Results
Electronic total energy in eV/cell: -26.23
Calculated volume in A^3/atom: 8.9
ρ in g/cm3: 6.67

---

Below is BeNi2HRu after structural relaxation, with properties calculated at the PBE level.

Unit cell a=3.462 b=3.462 c=3.907 alpha=90.00 beta=90.00 gamma=90.00
Sites, in units of the cell vectors:
Ru: 0.000 0.000 0.500
Ni: 0.500 0.000 0.000
Ni: 0.000 0.500 0.000
H: 0.000 0.000 0.000
Be: 0.500 0.500 0.500

Results
Electronic total energy in eV/cell: -28.10
Calculated volume in A^3/atom: 9.4
ρ in g/cm3: 8.10

---

Below is ScBeNi2H after structural relaxation, with properties calculated at the PBE level.

Unit cell a=3.292 b=5.098 c=6.658 alpha=90.00 beta=90.00 gamma=108.84
Sites, in units of the cell vectors:
Ni: 0.839 0.677 0.057
Ni: 0.161 0.323 0.557
Ni: 0.161 0.323 0.943
Ni: 0.839 0.677 0.443
H: 0.000 0.000 0.000
H: 0.000 0.000 0.500
Be: 0.271 0.542 0.250
Be: 0.729 0.458 0.750
Sc: 0.449 0.898 0.750
Sc: 0.551 0.102 0.250

Results
Electronic total energy in eV/cell: -54.42
Calculated volume in A^3/atom: 10.6
ρ in g/cm3: 5.41

---

Below is BeNi2HSe after structural relaxation, with properties calculated at the PBE level.

Unit cell a=4.400 b=4.120 c=4.400 alpha=90.00 beta=90.00 gamma=90.00
Sites, in units of the cell vectors:
H: 0.500 0.500 0.500
Be: 0.000 0.500 0.000
Se: 0.000 0.000 0.000
Ni: 0.500 0.000 0.000
Ni: 0.000 0.000 0.500

Results
Electronic total energy in eV/cell: -17.17
Calculated volume in A^3/atom: 16.0
ρ in g/cm3: 4.30

---

Below is BeSiNi4H after structural relaxation, with properties calculated at the PBE level.

Unit cell a=4.799 b=4.806 c=6.359 alpha=90.00 beta=112.17 gamma=90.00
Sites, in units of the cell vectors:
H: 0.226 0.750 0.452
H: 0.774 0.250 0.548
Ni: 0.069 0.750 0.138
Ni: 0.931 0.250 0.862
Ni: 0.000 0.000 0.500
Ni: 0.000 0.500 0.500
Ni: 0.574 0.250 0.148
Ni: 0.500 0.000 0.500
Ni: 0.500 0.500 0.500
Ni: 0.426 0.750 0.852
Si: 0.387 0.250 0.775
Si: 0.613 0.750 0.225
Be: 0.883 0.750 0.767
Be: 0.117 0.250 0.233

Results
Electronic total energy in eV/cell: -74.46
Calculated volume in A^3/atom: 9.7
ρ in g/cm3: 6.67

---

Below is BeSiNi2H after structural relaxation, with properties calculated at the PBE level.

Unit cell a=3.615 b=3.615 c=3.317 alpha=90.00 beta=90.00 gamma=90.00
Sites, in units of the cell vectors:
Be: 0.000 0.000 0.500
Ni: 0.000 0.500 0.000
Ni: 0.500 0.000 0.000
H: 0.000 0.000 0.000
Si: 0.500 0.500 0.500

Results
Electronic total energy in eV/cell: -25.19
Calculated volume in A^3/atom: 8.7
ρ in g/cm3: 5.96

---

Below is SrBeNiH6 after structural relaxation, with properties calculated at the PBE level.

Unit cell a=4.310 b=4.310 c=4.684 alpha=90.00 beta=90.00 gamma=60.00
Sites, in units of the cell vectors:
H: 0.501 0.501 0.280
H: 0.501 0.501 0.720
H: 0.998 0.501 0.280
H: 0.501 0.998 0.280
H: 0.998 0.501 0.720
H: 0.501 0.998 0.720
Be: 0.667 0.667 0.500
Ni: 0.333 0.333 0.500
Sr: 0.000 0.000 0.000

Results
Electronic total energy in eV/cell: -33.58
Calculated volume in A^3/atom: 8.4
ρ in g/cm3: 3.56

---

Below is Ta2BeNiH after structural relaxation, with properties calculated at the PBE level.

Unit cell a=4.032 b=4.032 c=3.622 alpha=90.00 beta=90.00 gamma=90.00
Sites, in units of the cell vectors:
Be: 0.500 0.500 0.500
Ta: 0.500 0.000 0.000
Ta: 0.000 0.500 0.000
Ni: 0.000 0.000 0.500
H: 0.000 0.000 0.000

Results
Electronic total energy in eV/cell: -36.89
Calculated volume in A^3/atom: 11.8
ρ in g/cm3: 12.15

---

Below is BeTcNi2H after structural relaxation, with properties calculated at the PBE level.

Unit cell a=4.464 b=4.464 c=4.391 alpha=90.00 beta=90.00 gamma=90.00
Sites, in units of the cell vectors:
H: 0.500 0.500 0.500
Be: 0.000 0.000 0.500
Tc: 0.000 0.000 0.000
Ni: 0.000 0.500 0.000
Ni: 0.500 0.000 0.000

Results
Electronic total energy in eV/cell: -19.90
Calculated volume in A^3/atom: 17.5
ρ in g/cm3: 4.28

---

Below is UBe2NiH8 after structural relaxation, with properties calculated at the PBE level.

Unit cell a=4.371 b=4.371 c=6.208 alpha=90.00 beta=90.00 gamma=120.00
Sites, in units of the cell vectors:
H: 0.152 0.848 0.808
H: 0.333 0.667 0.502
H: 0.667 0.333 0.498
H: 0.305 0.152 0.192
H: 0.848 0.695 0.192
H: 0.848 0.152 0.192
H: 0.152 0.305 0.808
H: 0.695 0.848 0.808
U: 0.000 0.000 0.500
Be: 0.667 0.333 0.252
Be: 0.333 0.667 0.748
Ni: 0.000 0.000 0.000

Results
Electronic total energy in eV/cell: -51.56
Calculated volume in A^3/atom: 8.6
ρ in g/cm3: 5.22

---

Below is BeV2NiH after structural relaxation, with properties calculated at the PBE level.

Unit cell a=3.678 b=3.678 c=3.594 alpha=90.00 beta=90.00 gamma=90.00
Sites, in units of the cell vectors:
Ni: 0.000 0.000 0.500
H: 0.000 0.000 0.000
V: 0.000 0.500 0.000
V: 0.500 0.000 0.000
Be: 0.500 0.500 0.500

Results
Electronic total energy in eV/cell: -31.64
Calculated volume in A^3/atom: 9.7
ρ in g/cm3: 5.83

---

Below is BeV2NiH after structural relaxation, with properties calculated at the PBE level.

Unit cell a=3.653 b=3.653 c=3.611 alpha=90.00 beta=90.00 gamma=90.00
Sites, in units of the cell vectors:
H: 0.000 0.000 0.000
Ni: 0.500 0.500 0.500
V: 0.000 0.500 0.000
V: 0.500 0.000 0.000
Be: 0.000 0.000 0.500

Results
Electronic total energy in eV/cell: -31.46
Calculated volume in A^3/atom: 9.6
ρ in g/cm3: 5.88

---

Below is BeVNi2H after structural relaxation, with properties calculated at the PBE level.

Unit cell a=3.540 b=3.540 c=3.734 alpha=90.00 beta=90.00 gamma=90.00
Sites, in units of the cell vectors:
V: 0.000 0.000 0.500
Be: 0.500 0.500 0.500
Ni: 0.500 0.000 0.000
Ni: 0.000 0.500 0.000
H: 0.000 0.000 0.000

Results
Electronic total energy in eV/cell: -27.95
Calculated volume in A^3/atom: 9.4
ρ in g/cm3: 6.33